Here is a geometry-optimized MnO structure from the Alexandria database. Energies are from PBE+U.

Its raw total energy is -7.78 eV per atom. Its theoretical density is 4.105 g cm⁻³.

The space group is F-43m (No. 216) and the conventional cell measures 4.8597, 4.8597 and 4.8597 Å, with angles of 90.00, 90.00 and 90.00 degrees. Symmetry generates all atoms from Mn at (0.0000, 0.0000, 0.0000) and O at (0.2500, 0.2500, 0.7500).